Here is BaVW2S after structural relaxation from Alexandria via LeMat-Bulk. Energies are from GGA-PBE.

## Properties
space group = P4/mmm, No. 123

abc: 4.619 4.619 5.452
angles: 90.00 90.00 90.00
Element x y z (fractional)
Ba 0.000 0.000 0.000
V 0.500 0.500 0.500
W 0.000 0.500 0.500
W 0.500 0.000 0.500
S 0.500 0.500 0.000

Here is BaW3S after structural relaxation from Alexandria via LeMat-Bulk. Energies are from GGA-PBE.

## Properties
offset from the most stable computed form = 0.000 eV per formula unit
space group = Pm-3m, No. 221

abc: 4.674 4.674 4.674
angles: 90.00 90.00 90.00
Element x y z (fractional)
Ba 0.000 0.000 0.000
W 0.000 0.500 0.500
W 0.500 0.000 0.500
W 0.500 0.500 0.000
S 0.500 0.500 0.500

For each record above, in turn, the calculated energy relative to the elements, uncorrected values are 1.13 1.26 eV/atom.
For each record above, in turn, the calculated calculated total energy values are -35.427 -38.634 eV per cell.